No. 1
ScAu2Cl, optimized geometry, DFT PBE; calculated total energy = -4.398 eV per atom; uncorrected formation energy = -715 meV per atom; distance to the lowest polymorph of the same formula = 0.116 eV per atom
1.0
3.1704 0.0000 0.0000
0.0000 3.1704 0.0000
0.0000 0.0000 8.7135
Sc Au Cl
1 2 1
Direct
0.0000 0.0000 0.0000
0.0000 0.0000 0.4230
0.5000 0.5000 0.2083
0.5000 0.5000 0.8223

=====

No. 2
ScRhAu, optimized geometry, DFT PBE; calculated total energy = -6.218 eV per atom; distance to the lowest polymorph of the same formula = 0.145 eV per atom; calculated formation energy = -0.5648 eV/atom
1.0
4.4278 0.0000 0.0000
-2.2139 3.8346 0.0000
0.0000 0.0000 3.0982
Sc Rh Au
1 1 1
Direct
0.0000 0.0000 0.0000
0.3333 0.6667 0.0000
0.6667 0.3333 0.5000

=====

No. 3
GeBIr2, optimized geometry, DFT PBE; calculated total energy = -6.903 eV per atom; distance to the lowest polymorph of the same formula = 0.436 eV per atom; calculated formation energy = 0.3508 eV/atom
1.0
0.0000 2.9424 2.9424
2.9424 0.0000 2.9424
2.9424 2.9424 0.0000
Ge B Ir
1 1 2
Direct
0.0000 0.0000 0.0000
0.5000 0.5000 0.5000
0.2500 0.2500 0.2500
0.7500 0.7500 0.7500

=====

No. 4
LiTiGaTc, optimized geometry, DFT PBE; calculated total energy = -5.994 eV per atom; calculated formation energy = -0.1935 eV/atom
1.0
0.0000 3.0789 3.0789
3.0789 0.0000 3.0789
3.0789 3.0789 0.0000
Li Ti Ga Tc
1 1 1 1
Direct
0.0000 0.0000 0.0000
0.7500 0.7500 0.7500
0.2500 0.2500 0.2500
0.5000 0.5000 0.5000

=====

No. 5
La4CePa3N8, optimized geometry, DFT PBE; calculated total energy = -9.101 eV per atom; uncorrected formation energy = -1555 meV per atom
1.0
3.6057 2.0817 5.9657
-3.6057 2.0817 5.9657
0.0000 -4.1635 5.9657
La Ce Pa N
4 1 3 8
Direct
0.0000 0.0000 0.0000
0.0000 0.5000 0.5000
0.5000 0.0000 0.5000
0.5000 0.5000 0.0000
0.5000 0.5000 0.5000
0.0000 0.0000 0.5000
0.0000 0.5000 0.0000
0.5000 0.0000 0.0000
0.2205 0.7418 0.7418
0.2335 0.2335 0.2335
0.2582 0.2582 0.7795
0.2582 0.7795 0.2582
0.7418 0.2205 0.7418
0.7418 0.7418 0.2205
0.7665 0.7665 0.7665
0.7795 0.2582 0.2582

=====

No. 6
RbRuRh, optimized geometry, DFT PBE; calculated total energy = -5.018 eV per atom; distance to the lowest polymorph of the same formula = 0.358 eV per atom; calculated formation energy = 0.8465 eV/atom
1.0
3.9818 0.0000 0.0000
-1.9909 3.4484 0.0000
0.0000 0.0000 11.8487
Rb Ru Rh
2 2 2
Direct
0.0000 0.0000 0.0000
0.0000 0.0000 0.5000
0.3333 0.6667 0.2735
0.6667 0.3333 0.7735
0.3333 0.6667 0.7213
0.6667 0.3333 0.2213

=====

Among the records above, which one has the lowest calculated total energy?
La4CePa3N8